1.
# Ce2As3Pd6

An optimized crystal structure of Ce2As3Pd6 (GGA-PBE, Alexandria).

Cell and atoms, written as extended XYZ:
```
11
Lattice="-1.245 2.930 -2.912 4.271 -3.339 -5.186 -7.137 -2.123 0.916" Properties=species:S:1:pos:R:3 pbc="T T T"
Pd -2.758 0.830 -1.182
Pd 0.655 0.466 -3.007
Pd -2.631 -2.363 -4.448
Pd -5.638 -1.677 0.724
Pd 3.374 -2.638 -4.097
Pd -0.602 -1.147 -0.896
As 2.055 -0.629 -4.708
As -1.691 -0.572 -3.048
As -5.098 0.134 -0.882
Ce -3.334 -2.528 -1.118
Ce 0.468 -2.934 -3.152
```

Results
crystal system = hexagonal
energy relative to the elements = -0.77 eV/atom

***

2.
# LaZrNi2

An optimized crystal structure of LaZrNi2 (GGA-PBE, Alexandria).

Cell and atoms, written as extended XYZ:
```
4
Lattice="3.315 0.000 0.000 0.000 3.298 0.021 0.000 3.270 7.089" Properties=species:S:1:pos:R:3 pbc="T T T"
La 1.658 4.926 5.332
Ni 0.000 3.285 3.158
Ni 0.000 3.297 0.418
Zr 1.658 1.642 1.777
```

Results
crystal system = monoclinic
energy relative to the elements = -0.30 eV/atom

***

3.
# LaCe5In3

An optimized crystal structure of LaCe5In3 (GGA-PBE, Alexandria).

Cell and atoms, written as extended XYZ:
```
18
Lattice="-1.225 2.230 -6.281 5.348 -7.042 -3.543 -9.336 -1.326 1.350" Properties=species:S:1:pos:R:3 pbc="T T T"
Ce 0.453 -5.137 -1.912
Ce -1.131 -7.361 -4.221
Ce -3.555 -3.860 -6.161
Ce 3.229 -4.098 -3.913
Ce 0.893 -0.714 -5.911
Ce -1.658 -2.278 -2.314
Ce -5.054 -2.116 -3.422
Ce -0.159 -4.022 -5.053
Ce -4.082 1.223 -4.253
Ce -4.442 -3.231 -0.281
La -0.612 1.115 -3.141
La 0.000 0.000 0.000
In 1.468 -1.779 -2.746
In -2.242 -1.104 -5.439
In 2.655 -3.033 -7.078
In -2.972 -5.034 -3.036
In 1.944 -6.924 -4.666
In -7.157 0.786 -3.809
```

Results
crystal system = hexagonal
energy relative to the elements = -0.23 eV/atom

***

4.
# Ba2HgBr

An optimized crystal structure of Ba2HgBr (GGA-PBE, Alexandria).

Cell and atoms, written as extended XYZ:
```
4
Lattice="6.179 -0.035 -0.024 0.273 6.173 0.024 -2.512 -3.820 4.157" Properties=species:S:1:pos:R:3 pbc="T T T"
Br 3.447 -0.393 2.066
Ba 3.300 3.139 0.000
Ba 6.379 6.068 0.000
Hg 0.494 2.711 2.091
```

Results
offset from the most stable computed form = 0.70 eV/f.u.
crystal system = orthorhombic
formation energy (no corrections) = -0.857 eV per atom

***

5.
# KWSe

An optimized crystal structure of KWSe (GGA-PBE, Alexandria).

Cell and atoms, written as extended XYZ:
```
3
Lattice="-1.619 -2.584 1.179 0.836 0.104 -3.159 6.468 -3.322 1.602" Properties=species:S:1:pos:R:3 pbc="T T T"
K 0.074 -0.038 0.018
W 3.938 -2.805 -0.742
Se 1.673 -2.959 0.346
```

Results
offset from the most stable computed form = 0.00 eV/f.u.
crystal system = trigonal
formation energy (no corrections) = 0.428 eV per atom

***

6.
# GdHoRu

An optimized crystal structure of GdHoRu (GGA-PBE, Alexandria).

Cell and atoms, written as extended XYZ:
```
3
Lattice="-2.869 1.262 -1.327 -1.559 -2.977 0.539 0.370 2.897 6.321" Properties=species:S:1:pos:R:3 pbc="T T T"
Ru -2.822 -0.186 1.558
Ho -0.151 0.167 0.485
Gd -1.086 1.201 3.490
```

Results
offset from the most stable computed form = 0.00 eV/f.u.
crystal system = tetragonal
energy relative to the elements = -0.32 eV/atom

***

Copy entry 2 word for word.
# LaZrNi2

An optimized crystal structure of LaZrNi2 (GGA-PBE, Alexandria).

Cell and atoms, written as extended XYZ:
```
4
Lattice="3.315 0.000 0.000 0.000 3.298 0.021 0.000 3.270 7.089" Properties=species:S:1:pos:R:3 pbc="T T T"
La 1.658 4.926 5.332
Ni 0.000 3.285 3.158
Ni 0.000 3.297 0.418
Zr 1.658 1.642 1.777
```

Results
crystal system = monoclinic
energy relative to the elements = -0.30 eV/atom

***

Please write out number 1 again, unchanged.
# Ce2As3Pd6

An optimized crystal structure of Ce2As3Pd6 (GGA-PBE, Alexandria).

Cell and atoms, written as extended XYZ:
```
11
Lattice="-1.245 2.930 -2.912 4.271 -3.339 -5.186 -7.137 -2.123 0.916" Properties=species:S:1:pos:R:3 pbc="T T T"
Pd -2.758 0.830 -1.182
Pd 0.655 0.466 -3.007
Pd -2.631 -2.363 -4.448
Pd -5.638 -1.677 0.724
Pd 3.374 -2.638 -4.097
Pd -0.602 -1.147 -0.896
As 2.055 -0.629 -4.708
As -1.691 -0.572 -3.048
As -5.098 0.134 -0.882
Ce -3.334 -2.528 -1.118
Ce 0.468 -2.934 -3.152
```

Results
crystal system = hexagonal
energy relative to the elements = -0.77 eV/atom